#a
Entry from OQMD via LeMat-Bulk: an optimized crystal structure of BaCdCoTe3 (GGA-PBE).

Geometry as CIF:
```
data_BaCdCoTe3
_chemical_formula_sum 'Ba4 Cd4 Co4 Te12'
_symmetry_space_group_name_H-M 'C m c m'
_symmetry_Int_Tables_number 63
_symmetry_space_group_name_Hall '-C 2c 2'
_cell_length_a 4.418
_cell_length_b 14.365
_cell_length_c 11.671
_cell_angle_alpha 90.00
_cell_angle_beta 90.00
_cell_angle_gamma 90.00
loop_
_atom_site_label
_atom_site_fract_x
_atom_site_fract_y
_atom_site_fract_z
Ba1 0.000 0.245 0.250
Cd1 0.000 0.500 0.000
Co1 0.000 0.041 0.750
Te1 0.000 0.137 0.561
Te2 0.000 0.446 0.750
```

#b
Entry from OQMD via LeMat-Bulk: an optimized crystal structure of BaCdCoTe3 (GGA-PBE).

Geometry as CIF:
```
data_BaCdCoTe3
_chemical_formula_sum 'Ba4 Cd4 Co4 Te12'
_symmetry_space_group_name_H-M 'C m c m'
_symmetry_Int_Tables_number 63
_symmetry_space_group_name_Hall '-C 2c 2'
_cell_length_a 4.379
_cell_length_b 15.151
_cell_length_c 10.797
_cell_angle_alpha 90.00
_cell_angle_beta 90.00
_cell_angle_gamma 90.00
loop_
_atom_site_label
_atom_site_fract_x
_atom_site_fract_y
_atom_site_fract_z
Ba1 0.000 0.231 0.250
Cd1 0.000 0.470 0.750
Co1 0.000 0.000 0.000
Te1 0.000 0.083 0.750
Te2 0.000 0.375 0.530
```

Quick ranking, most stable first: #a, #b.

#a
Entry from OQMD via LeMat-Bulk: an optimized crystal structure of BaCdFeSe3 (GGA-PBE).

Geometry as CIF:
```
data_BaCdFeSe3
_chemical_formula_sum 'Ba4 Cd4 Fe4 Se12'
_symmetry_space_group_name_H-M 'C m c m'
_symmetry_Int_Tables_number 63
_symmetry_space_group_name_Hall '-C 2c 2'
_cell_length_a 4.239
_cell_length_b 14.285
_cell_length_c 10.309
_cell_angle_alpha 90.00
_cell_angle_beta 90.00
_cell_angle_gamma 90.00
loop_
_atom_site_label
_atom_site_fract_x
_atom_site_fract_y
_atom_site_fract_z
Ba1 0.000 0.235 0.250
Cd1 0.000 0.480 0.750
Fe1 0.000 0.000 0.000
Se1 0.000 0.087 0.750
Se2 0.000 0.375 0.542
```

#b
Entry from OQMD via LeMat-Bulk: an optimized crystal structure of BaCdFeSe3 (GGA-PBE).

Geometry as CIF:
```
data_BaCdFeSe3
_chemical_formula_sum 'Ba4 Cd4 Fe4 Se12'
_symmetry_space_group_name_H-M 'C m c m'
_symmetry_Int_Tables_number 63
_symmetry_space_group_name_Hall '-C 2c 2'
_cell_length_a 4.217
_cell_length_b 13.975
_cell_length_c 10.672
_cell_angle_alpha 90.00
_cell_angle_beta 90.00
_cell_angle_gamma 90.00
loop_
_atom_site_label
_atom_site_fract_x
_atom_site_fract_y
_atom_site_fract_z
Ba1 0.000 0.244 0.250
Cd1 0.000 0.500 0.000
Fe1 0.000 0.035 0.750
Se1 0.000 0.134 0.562
Se2 0.000 0.436 0.750
```

Quick ranking, most stable first: #b, #a.

#a
Entry from OQMD via LeMat-Bulk: an optimized crystal structure of BaCdFeTe3 (GGA-PBE).

Geometry as CIF:
```
data_BaCdFeTe3
_chemical_formula_sum 'Ba4 Cd4 Fe4 Te12'
_symmetry_space_group_name_H-M 'C m c m'
_symmetry_Int_Tables_number 63
_symmetry_space_group_name_Hall '-C 2c 2'
_cell_length_a 4.470
_cell_length_b 14.790
_cell_length_c 11.410
_cell_angle_alpha 90.00
_cell_angle_beta 90.00
_cell_angle_gamma 90.00
loop_
_atom_site_label
_atom_site_fract_x
_atom_site_fract_y
_atom_site_fract_z
Ba1 0.000 0.247 0.250
Cd1 0.000 0.500 0.000
Fe1 0.000 0.039 0.750
Te1 0.000 0.137 0.557
Te2 0.000 0.436 0.750
```

#b
Entry from OQMD via LeMat-Bulk: an optimized crystal structure of BaCdFeTe3 (GGA-PBE).

Geometry as CIF:
```
data_BaCdFeTe3
_chemical_formula_sum 'Ba4 Cd4 Fe4 Te12'
_symmetry_space_group_name_H-M 'C m c m'
_symmetry_Int_Tables_number 63
_symmetry_space_group_name_Hall '-C 2c 2'
_cell_length_a 4.449
_cell_length_b 15.019
_cell_length_c 11.150
_cell_angle_alpha 90.00
_cell_angle_beta 90.00
_cell_angle_gamma 90.00
loop_
_atom_site_label
_atom_site_fract_x
_atom_site_fract_y
_atom_site_fract_z
Ba1 0.000 0.233 0.250
Cd1 0.000 0.471 0.750
Fe1 0.000 0.000 0.000
Te1 0.000 0.084 0.750
Te2 0.000 0.372 0.538
```

Quick ranking, most stable first: #a, #b.

#a
Entry from OQMD via LeMat-Bulk: an optimized crystal structure of BaCdHgS3 (GGA-PBE).

Geometry as CIF:
```
data_BaCdHgS3
_chemical_formula_sum 'Ba4 Cd4 Hg4 S12'
_symmetry_space_group_name_H-M 'C m c m'
_symmetry_Int_Tables_number 63
_symmetry_space_group_name_Hall '-C 2c 2'
_cell_length_a 4.155
_cell_length_b 13.848
_cell_length_c 10.663
_cell_angle_alpha 90.00
_cell_angle_beta 90.00
_cell_angle_gamma 90.00
loop_
_atom_site_label
_atom_site_fract_x
_atom_site_fract_y
_atom_site_fract_z
Ba1 0.000 0.242 0.250
Cd1 0.000 0.000 0.000
Hg1 0.000 0.477 0.750
S1 0.000 0.088 0.750
S2 0.000 0.370 0.555
```

#b
Entry from OQMD via LeMat-Bulk: an optimized crystal structure of BaCdHgS3 (GGA-PBE).

Geometry as CIF:
```
data_BaCdHgS3
_chemical_formula_sum 'Ba4 Cd4 Hg4 S12'
_symmetry_space_group_name_H-M 'C m c m'
_symmetry_Int_Tables_number 63
_symmetry_space_group_name_Hall '-C 2c 2'
_cell_length_a 4.183
_cell_length_b 13.919
_cell_length_c 10.607
_cell_angle_alpha 90.00
_cell_angle_beta 90.00
_cell_angle_gamma 90.00
loop_
_atom_site_label
_atom_site_fract_x
_atom_site_fract_y
_atom_site_fract_z
Ba1 0.000 0.245 0.250
Cd1 0.000 0.478 0.750
Hg1 0.000 0.000 0.000
S1 0.000 0.085 0.750
S2 0.000 0.368 0.558
```

Quick ranking, most stable first: #a, #b.

#a
Entry from OQMD via LeMat-Bulk: an optimized crystal structure of BaCdHgSe3 (GGA-PBE).

Geometry as CIF:
```
data_BaCdHgSe3
_chemical_formula_sum 'Ba4 Cd4 Hg4 Se12'
_symmetry_space_group_name_H-M 'C m c m'
_symmetry_Int_Tables_number 63
_symmetry_space_group_name_Hall '-C 2c 2'
_cell_length_a 4.340
_cell_length_b 14.334
_cell_length_c 11.119
_cell_angle_alpha 90.00
_cell_angle_beta 90.00
_cell_angle_gamma 90.00
loop_
_atom_site_label
_atom_site_fract_x
_atom_site_fract_y
_atom_site_fract_z
Ba1 0.000 0.242 0.250
Cd1 0.000 0.476 0.750
Hg1 0.000 0.000 0.000
Se1 0.000 0.086 0.750
Se2 0.000 0.366 0.556
```

#b
Entry from OQMD via LeMat-Bulk: an optimized crystal structure of BaCdHgSe3 (GGA-PBE).

Geometry as CIF:
```
data_BaCdHgSe3
_chemical_formula_sum 'Ba4 Cd4 Hg4 Se12'
_symmetry_space_group_name_H-M 'C m c m'
_symmetry_Int_Tables_number 63
_symmetry_space_group_name_Hall '-C 2c 2'
_cell_length_a 4.310
_cell_length_b 14.273
_cell_length_c 11.199
_cell_angle_alpha 90.00
_cell_angle_beta 90.00
_cell_angle_gamma 90.00
loop_
_atom_site_label
_atom_site_fract_x
_atom_site_fract_y
_atom_site_fract_z
Ba1 0.000 0.238 0.250
Cd1 0.000 0.000 0.000
Hg1 0.000 0.474 0.750
Se1 0.000 0.089 0.750
Se2 0.000 0.368 0.554
```

Quick ranking, most stable first: #b, #a.

#a
Entry from OQMD via LeMat-Bulk: an optimized crystal structure of BaCd2InPb (GGA-PBE).

Geometry as CIF:
```
data_BaCd2InPb
_chemical_formula_sum 'Ba2 Cd4 In2 Pb2'
_symmetry_space_group_name_H-M 'P 4/n m m'
_symmetry_Int_Tables_number 129
_cell_length_a 5.015
_cell_length_b 5.015
_cell_length_c 12.356
_cell_angle_alpha 90.00
_cell_angle_beta 90.00
_cell_angle_gamma 90.00
loop_
_symmetry_equiv_pos_as_xyz
'x,y,z'
'-x,-y,-z'
'-y+1/2,x,z'
'y+1/2,-x,-z'
'-x+1/2,-y+1/2,z'
'x+1/2,y+1/2,-z'
'y,-x+1/2,z'
'-y,x+1/2,-z'
'x+1/2,-y,-z'
'-x+1/2,y,z'
'-y,-x,-z'
'y,x,z'
'-x,y+1/2,-z'
'x,-y+1/2,z'
'y+1/2,x+1/2,-z'
'-y+1/2,-x+1/2,z'
loop_
_atom_site_label
_atom_site_fract_x
_atom_site_fract_y
_atom_site_fract_z
Ba1 0.250 0.250 0.242
Cd1 0.250 0.250 0.645
Cd2 0.250 0.750 0.000
In1 0.250 0.250 0.874
Pb1 0.250 0.750 0.500
```

#b
Entry from OQMD via LeMat-Bulk: an optimized crystal structure of BaCd2InPb (GGA-PBE).

Geometry as CIF:
```
data_BaCd2InPb
_chemical_formula_sum 'Ba2 Cd4 In2 Pb2'
_symmetry_space_group_name_H-M 'P 4/n m m'
_symmetry_Int_Tables_number 129
_cell_length_a 4.937
_cell_length_b 4.937
_cell_length_c 12.635
_cell_angle_alpha 90.00
_cell_angle_beta 90.00
_cell_angle_gamma 90.00
loop_
_symmetry_equiv_pos_as_xyz
'x,y,z'
'-x,-y,-z'
'-y+1/2,x,z'
'y+1/2,-x,-z'
'-x+1/2,-y+1/2,z'
'x+1/2,y+1/2,-z'
'y,-x+1/2,z'
'-y,x+1/2,-z'
'x+1/2,-y,-z'
'-x+1/2,y,z'
'-y,-x,-z'
'y,x,z'
'-x,y+1/2,-z'
'x,-y+1/2,z'
'y+1/2,x+1/2,-z'
'-y+1/2,-x+1/2,z'
loop_
_atom_site_label
_atom_site_fract_x
_atom_site_fract_y
_atom_site_fract_z
Ba1 0.250 0.250 0.246
Cd1 0.250 0.250 0.630
Cd2 0.250 0.750 0.000
In1 0.250 0.750 0.500
Pb1 0.250 0.250 0.861
```

Quick ranking, most stable first: #a, #b.